[1]
Compound: MgNbCu2
Source: Alexandria via LeMat-Bulk
Functional: PBE-GGA
Structure: relaxed

Unit cell a=2.779 b=4.707 c=4.707 alpha=90.00 beta=90.00 gamma=90.00
Atoms (fractional coordinates):
1 Nb 0.500 0.500 0.500
2 Mg 0.500 0.000 0.000
3 Cu 0.000 0.500 0.000
4 Cu 0.000 0.000 0.500

The energy relative to the elements is 88 meV per atom. The total energy is -4.88 eV per atom. Its crystal system is tetragonal.

***

[2]
Compound: Er4CoCu2
Source: Alexandria via LeMat-Bulk
Functional: PBE-GGA
Structure: relaxed

Unit cell a=4.725 b=5.860 c=5.860 alpha=108.83 beta=90.00 gamma=90.00
Atoms (fractional coordinates):
1 Er 0.500 0.000 0.500
2 Cu 0.000 0.253 0.747
3 Co 0.500 0.500 0.500
4 Er 0.000 0.745 0.745
5 Er 0.000 0.255 0.255
6 Er 0.500 0.500 0.000
7 Cu 0.000 0.747 0.253

The energy relative to the elements is -158 meV per atom. The total energy is -4.95 eV per atom. Its crystal system is orthorhombic.

***

[3]
Compound: RbNaHg2As
Source: Alexandria via LeMat-Bulk
Functional: PBE-GGA
Structure: relaxed

Unit cell a=5.619 b=5.619 c=5.509 alpha=90.00 beta=90.00 gamma=90.00
Atoms (fractional coordinates):
1 Na 0.000 0.000 0.500
2 As 0.000 0.000 0.000
3 Hg 0.000 0.500 0.000
4 Hg 0.500 0.000 0.000
5 Rb 0.500 0.500 0.500

The energy relative to the elements is -146 meV per atom. The total energy is -1.65 eV per atom. Its crystal system is tetragonal.